Entry 1:
VASP calculation (PBE-GGA) on HoIF2 after structural relaxation.

Cell lengths 3.7941, 11.7521, 7.1028 Å; angles 90.00, 90.00, 90.00 degrees
Element x y z (fractional)
Ho  0.0000  0.2463  0.2500
Ho  0.0000  0.7537  0.7500
Ho  0.5000  0.2537  0.7500
Ho  0.5000  0.7463  0.2500
I  0.0000  0.0438  0.7500
I  0.0000  0.9562  0.2500
I  0.5000  0.4562  0.2500
I  0.5000  0.5438  0.7500
F  0.0000  0.3024  0.5746
F  0.0000  0.3024  0.9254
F  0.0000  0.6976  0.0746
F  0.0000  0.6976  0.4254
F  0.5000  0.1976  0.0746
F  0.5000  0.1976  0.4254
F  0.5000  0.8024  0.5746
F  0.5000  0.8024  0.9254

## Properties
The formation energy (no corrections) comes out at -3100 meV/atom. For the calculated volume, the calculation gives 19.79 Å³/atom. The calculation puts the energy above the most stable polymorph in this dataset at 0 meV per atom. As for the final energy: -89.08 eV for the cell shown. As for the space group: No. 63.



Entry 2:
VASP calculation (PBE-GGA) on HoIF2 after structural relaxation.

Cell lengths 3.9564, 3.9564, 16.9425 Å; angles 90.00, 90.00, 120.00 degrees
Element x y z (fractional)
Ho  0.0000  0.0000  0.0000
Ho  0.3333  0.6667  0.6667
Ho  0.6667  0.3333  0.3333
I  0.0000  0.0000  0.5000
I  0.3333  0.6667  0.1667
I  0.6667  0.3333  0.8333
F  0.0000  0.0000  0.3071
F  0.0000  0.0000  0.6929
F  0.3333  0.6667  0.3596
F  0.3333  0.6667  0.9737
F  0.6667  0.3333  0.0263
F  0.6667  0.3333  0.6404

## Properties
The formation energy (no corrections) comes out at -2997 meV/atom. For the calculated volume, the calculation gives 19.14 Å³/atom. The calculation puts the energy above the most stable polymorph in this dataset at 103 meV per atom. As for the final energy: -65.57 eV for the cell shown. As for the space group: No. 166.



Entry 3:
VASP calculation (PBE-GGA) on HoInF5 after structural relaxation.

Cell lengths 6.0086, 6.0086, 7.6141 Å; angles 106.67, 106.67, 77.41 degrees
Element x y z (fractional)
Ho  0.0429  0.9571  0.7500
Ho  0.9571  0.0429  0.2500
In  0.5000  0.5000  0.0000
In  0.5000  0.5000  0.5000
F  0.1578  0.8269  0.0396
F  0.1731  0.8422  0.4604
F  0.2111  0.2816  0.3605
F  0.2816  0.2111  0.8605
F  0.3437  0.6563  0.7500
F  0.6563  0.3437  0.2500
F  0.7184  0.7889  0.1395
F  0.7889  0.7184  0.6395
F  0.8269  0.1578  0.5396
F  0.8422  0.1731  0.9604

## Properties
The formation energy (no corrections) comes out at -3189 meV/atom. For the calculated volume, the calculation gives 17.82 Å³/atom. As for the final energy: -77.99 eV for the cell shown. As for the space group: No. 15.



Entry 4:
VASP calculation (PBE-GGA) on HoIn2F8 after structural relaxation.

Cell lengths 6.2632, 6.2632, 4.5179 Å; angles 99.41, 99.41, 74.16 degrees
Element x y z (fractional)
Ho  0.0000  0.0000  0.0000
In  0.3576  0.3576  0.7010
In  0.6424  0.6424  0.2990
F  0.0879  0.6549  0.7734
F  0.1440  0.1440  0.7000
F  0.3451  0.9121  0.2266
F  0.4044  0.4044  0.2313
F  0.5956  0.5956  0.7687
F  0.6549  0.0879  0.7734
F  0.8560  0.8560  0.3000
F  0.9121  0.3451  0.2266

## Properties
The formation energy (no corrections) comes out at -2914 meV/atom. For the calculated volume, the calculation gives 15.17 Å³/atom. As for the final energy: -57.08 eV for the cell shown. As for the space group: No. 12.



Entry 5:
VASP calculation (PBE-GGA) on HoIn2F11 after structural relaxation.

Cell lengths 8.4222, 8.4222, 8.4222 Å; angles 122.84, 106.45, 100.06 degrees
Element x y z (fractional)
Ho  0.2500  0.2500  0.0000
Ho  0.7500  0.7500  0.0000
In  0.1920  0.6643  0.8563
In  0.3080  0.1643  0.4723
In  0.6920  0.8357  0.5277
In  0.8080  0.3357  0.1437
F  0.0000  0.5000  0.5000
F  0.0307  0.9617  0.2762
F  0.0569  0.3472  0.1375
F  0.1854  0.4617  0.9310
F  0.1927  0.3946  0.5873
F  0.2097  0.9193  0.8625
F  0.2903  0.1528  0.7096
F  0.3073  0.8946  0.2019
F  0.3146  0.2456  0.2762
F  0.4431  0.5807  0.2904
F  0.4693  0.7456  0.9310
F  0.5000  0.0000  0.5000
F  0.5307  0.2544  0.0690
F  0.5569  0.4193  0.7096
F  0.6854  0.7544  0.7238
F  0.6927  0.1054  0.7981
F  0.7097  0.8472  0.2904
F  0.7903  0.0807  0.1375
F  0.8073  0.6054  0.4127
F  0.8146  0.5383  0.0690
F  0.9431  0.6528  0.8625
F  0.9693  0.0383  0.7238

## Properties
The formation energy (no corrections) comes out at -2513 meV/atom. For the calculated volume, the calculation gives 15.70 Å³/atom. As for the final energy: -131.63 eV for the cell shown. As for the space group: No. 72.



Entry 6:
VASP calculation (PBE-GGA) on Ho2InF after structural relaxation.

Cell lengths 3.6660, 3.6660, 22.9277 Å; angles 90.00, 90.00, 120.00 degrees
Element x y z (fractional)
Ho  0.0000  0.0000  0.2288
Ho  0.0000  0.0000  0.7712
Ho  0.3333  0.6667  0.4378
Ho  0.3333  0.6667  0.8955
Ho  0.6667  0.3333  0.1045
Ho  0.6667  0.3333  0.5622
In  0.0000  0.0000  0.0000
In  0.3333  0.6667  0.6667
In  0.6667  0.3333  0.3333
F  0.0000  0.0000  0.5000
F  0.3333  0.6667  0.1667
F  0.6667  0.3333  0.8333

## Properties
The formation energy (no corrections) comes out at -1282 meV/atom. For the calculated volume, the calculation gives 22.24 Å³/atom. As for the final energy: -56.67 eV for the cell shown. As for the space group: No. 166.



Entry 7:
VASP calculation (PBE-GGA) on Rb2HoInF6 after structural relaxation.

Cell lengths 6.6182, 6.8198, 11.4910 Å; angles 90.00, 124.90, 90.00 degrees
Element x y z (fractional)
Rb  0.2342  0.0427  0.2468
Rb  0.2342  0.4573  0.7468
Rb  0.7658  0.5427  0.2532
Rb  0.7658  0.9573  0.7532
Ho  0.5000  0.0000  0.0000
Ho  0.5000  0.5000  0.5000
In  0.0000  0.0000  0.5000
In  0.0000  0.5000  0.0000
F  0.1932  0.1802  0.9596
F  0.1932  0.3198  0.4596
F  0.2639  0.7415  0.9373
F  0.2639  0.7585  0.4373
F  0.3768  0.0483  0.7807
F  0.3768  0.4517  0.2807
F  0.6232  0.5483  0.7193
F  0.6232  0.9517  0.2193
F  0.7361  0.2415  0.5627
F  0.7361  0.2585  0.0627
F  0.8068  0.6802  0.5404
F  0.8068  0.8198  0.0404

## Properties
The formation energy (no corrections) comes out at -3101 meV/atom. For the calculated volume, the calculation gives 21.27 Å³/atom. As for the final energy: -102.97 eV for the cell shown. As for the space group: No. 14.



Entry 8:
VASP calculation (PBE-GGA) on HoTl2InF6 after structural relaxation.

Cell lengths 6.5306, 6.5318, 6.5376 Å; angles 63.11, 63.11, 63.07 degrees
Element x y z (fractional)
Ho  0.0000  0.0000  0.0000
Tl  0.2402  0.2401  0.2394
Tl  0.7598  0.7599  0.7606
In  0.5000  0.5000  0.5000
F  0.1239  0.8072  0.3170
F  0.1943  0.6831  0.8755
F  0.3166  0.1249  0.8083
F  0.6834  0.8751  0.1917
F  0.8057  0.3169  0.1245
F  0.8761  0.1928  0.6830

## Properties
The formation energy (no corrections) comes out at -2686 meV/atom. For the calculated volume, the calculation gives 21.07 Å³/atom. As for the final energy: -50.14 eV for the cell shown. As for the space group: No. 2.